This record from Alexandria describes a relaxed structure of SmDy4Er8. The functional is PBE-GGA.

Properties
DFT total energy, eV/atom: -4.3386

Cell and atoms, written as POSCAR:
```
SmDy4Er8
1.0
3.4351 1.9832 10.3819
-3.4351 1.9832 10.3819
0.0000 -3.9665 10.3819
Sm Dy Er
1 4 8
Direct
0.0000 0.0000 0.0000 Sm
0.0000 0.0000 0.5000 Dy
0.0000 0.5000 0.0000 Dy
0.5000 0.0000 0.0000 Dy
0.5000 0.5000 0.5000 Dy
0.0655 0.5639 0.5639 Er
0.0903 0.0903 0.0903 Er
0.4361 0.4361 0.9345 Er
0.4361 0.9345 0.4361 Er
0.5639 0.0655 0.5639 Er
0.5639 0.5639 0.0655 Er
0.9097 0.9097 0.9097 Er
0.9345 0.4361 0.4361 Er
```